Record 1
{
  "formula": "InAu2Br",
  "functional": "PBE",
  "state": "optimized geometry",
  "formation_energy_uncorrected_ev_per_atom": 0.001,
  "cell": [[-4.0032, 4.0032, 2.9245], [4.0032, -4.0032, 2.9245], [4.0032, 4.0032, -2.9245]],
  "species": ["In", "In", "Au", "Au", "Au", "Au", "Br", "Br"],
  "frac_coords": [[0.0000, 0.0000, 0.0000], [0.7500, 0.2500, 0.5000], [0.1076, 0.6250, 0.9826], [0.3750, 0.3576, 0.4826], [0.6424, 0.1250, 0.0174], [0.8750, 0.8924, 0.5174], [0.2500, 0.7500, 0.5000], [0.5000, 0.5000, 0.0000]]
}

Record 2
{
  "formula": "InAu2Br",
  "functional": "PBE",
  "state": "optimized geometry",
  "formation_energy_uncorrected_ev_per_atom": -0.101,
  "cell": [[2.9439, -4.4519, 0.0000], [2.9439, 4.4519, 0.0000], [0.0000, 0.0000, 3.6492]],
  "species": ["In", "Au", "Au", "Br"],
  "frac_coords": [[0.0000, 0.0000, 0.0000], [0.2336, 0.7664, 0.5000], [0.7664, 0.2336, 0.5000], [0.5000, 0.5000, 0.0000]]
}

Record 3
{
  "formula": "InAu2Br",
  "functional": "PBE",
  "state": "optimized geometry",
  "formation_energy_uncorrected_ev_per_atom": 0.029,
  "cell": [[3.8903, 0.0000, 0.0000], [-0.0246, 4.3241, 0.0000], [-1.9205, -2.1522, 5.6102]],
  "species": ["In", "Au", "Au", "Br"],
  "frac_coords": [[0.0000, 0.0000, 0.0000], [0.0000, 0.0000, 0.5000], [0.5000, 0.5000, 0.5000], [0.5000, 0.5000, 0.0000]]
}

Record 4
{
  "formula": "InAu2Br",
  "functional": "PBE",
  "state": "optimized geometry",
  "formation_energy_uncorrected_ev_per_atom": 0.038,
  "cell": [[2.1403, -2.8568, 0.0000], [2.1403, 2.8568, 0.0000], [0.0000, 0.0000, 7.6839]],
  "species": ["In", "Au", "Au", "Br"],
  "frac_coords": [[0.0000, 0.0000, 0.0000], [0.0000, 0.0000, 0.5496], [0.5000, 0.5000, 0.7734], [0.5000, 0.5000, 0.2928]]
}

Sequential N(E_F) output: 0.8, 1.0, 0.3, 1.1 states/eV/f.u.
Sequential excess energy over the best structure of this formula in the dataset output: 172, 70, 200, 209 meV/atom